Below is a geometry-optimized CrCdIn4 structure, with properties calculated at the GGA-PBE level.

```
6
Lattice="0.000 4.291 4.291 4.291 0.000 4.291 4.291 4.291 0.000" Properties=species:S:1:pos:R:3 pbc="T T T"
Cr 0.000 0.000 0.000
Cd 2.146 2.146 2.146
In 5.367 3.216 3.216
In 3.216 5.367 3.216
In 3.216 3.216 5.367
In 5.367 5.367 5.367
```

Output
Its density of states at the Fermi level is 0.560 states/eV/atom. For the total energy, the calculation gives -18.85 eV/cell.

Below is a geometry-optimized Na2Cd2Pd3 structure, with properties calculated at the GGA-PBE level.

```
14
Lattice="10.346 0.000 0.000 0.000 4.567 0.000 -3.050 0.000 6.275" Properties=species:S:1:pos:R:3 pbc="T T T"
Na 0.851 0.000 1.613
Na 1.272 2.284 4.661
Na 6.024 2.284 1.613
Na 6.445 0.000 4.661
Cd -0.897 0.000 4.581
Cd 3.020 2.284 1.694
Cd 4.276 2.284 4.581
Cd 8.193 0.000 1.694
Pd -1.525 2.284 3.137
Pd -1.778 2.284 5.863
Pd 3.901 0.000 0.411
Pd 3.648 0.000 3.137
Pd 3.395 0.000 5.863
Pd 9.074 2.284 0.411
```

Output
Its density of states at the Fermi level is 0.232 states/eV/atom. For the total energy, the calculation gives -42.85 eV/cell. The offset from the most stable computed form comes out at 31.2 meV per atom.

Below is a geometry-optimized SiP4Rh structure, with properties calculated at the GGA-PBE level.

```
6
Lattice="0.000 3.558 3.558 3.558 0.000 3.558 3.558 3.558 0.000" Properties=species:S:1:pos:R:3 pbc="T T T"
Si 0.000 0.000 0.000
P 4.475 2.641 2.641
P 2.641 4.475 2.641
P 2.641 2.641 4.475
P 4.475 4.475 4.475
Rh 1.779 1.779 1.779
```

Output
Its density of states at the Fermi level is 1.010 states/eV/atom. For the total energy, the calculation gives -29.95 eV/cell. For the uncorrected formation energy, the calculation gives 72 kJ per mole of atoms.